Here is Fe2Ir after structural relaxation from Alexandria. Energies are from PBEsol.

```
Fe2Ir
1.0
4.571 -1.290 0.000
4.571 1.290 0.000
-1.506 0.000 5.792
Fe Ir
4 2
Direct
0.030 0.030 0.294
0.365 0.365 0.972
0.635 0.635 0.028
0.970 0.970 0.706
0.310 0.310 0.354
0.690 0.690 0.646
```

**Calculated formation energy**: -0.001 eV/atom
**Calculated total energy**: -9.251 eV/atom